# 1
Mn3ZnNi4: relaxed, PBE.

Values from the calculation:
The value obtained for the total energy is -6.578 eV per atom. The density of states at the Fermi level is 0.773 states/eV/atom. The value obtained for the formation energy is -0.09 eV per atom.

a b c (Å): 4.1067 4.1067 20.1789
angles (deg): 90.00 90.00 120.00
Space group R-3m (No. 166, hexagonal axes)
Inequivalent atoms, fractional coordinates:
Mn (0.0000, 0.0000, 0.0000) x3
Mn (0.0000, 0.0000, 0.2485) x6
Zn (0.0000, 0.0000, 0.5000) x3
Ni (0.0000, 0.0000, 0.1235) x6
Ni (0.0000, 0.0000, 0.3736) x6

# 2
Hf2ScUP4: relaxed, PBE.

Values from the calculation:
The value obtained for the total energy is -8.682 eV per atom. The density of states at the Fermi level is 0.779 states/eV/atom. The value obtained for the formation energy is -1.29 eV per atom.

a b c (Å): 6.5188 3.7624 6.5190
angles (deg): 90.00 109.19 90.00
Space group P2/m (No. 10)
Inequivalent atoms, fractional coordinates:
Hf (0.0000, 0.0000, 0.0000) x1
Hf (0.0000, 0.5000, 0.5000) x1
Sc (0.5000, 0.0000, 0.5000) x1
U (0.5000, 0.5000, 0.0000) x1
P (0.2408, 0.0000, 0.7422) x2
P (0.2450, 0.5000, 0.2512) x2

# 3
Tb2Y8Er: relaxed, PBE.

Values from the calculation:
The value obtained for the total energy is -5.934 eV per atom. The density of states at the Fermi level is 1.537 states/eV/atom. The value obtained for the formation energy is 0.02 eV per atom. The energy above the most stable polymorph in this dataset comes out at 0 meV per atom.

a b c (Å): 6.1663 6.1706 9.4369
angles (deg): 89.91 83.71 80.30
Space group P-1 (No. 2)
Inequivalent atoms, fractional coordinates:
Tb (0.1820, 0.1378, 0.2717) x2
Y (0.0898, 0.3185, 0.6368) x2
Y (0.2716, 0.9552, 0.9094) x2
Y (0.3632, 0.7737, 0.5458) x2
Y (0.4540, 0.5909, 0.1813) x2
Er (0.0000, 0.5000, 0.0000) x1

# 4
TbSm2TmS6: relaxed, PBE.

Values from the calculation:
The value obtained for the total energy is -6.375 eV per atom. The density of states at the Fermi level is 0.000 states/eV/atom. For the raw formation energy, the calculation gives -2.0447 eV/atom.

a b c (Å): 6.9892 6.9892 18.5624
angles (deg): 90.00 90.00 120.00
Space group R3 (No. 146, hexagonal axes)
Inequivalent atoms, fractional coordinates:
Tb (0.0000, 0.0000, 0.0000) x3
Sm (0.0000, 0.0000, 0.2950) x3
Sm (0.0000, 0.0000, 0.7962) x3
Tm (0.0000, 0.0000, 0.4984) x3
S (0.0414, 0.3569, 0.5674) x9
S (0.0433, 0.6788, 0.0681) x9

# 5
La6GaTc2Br3: relaxed, PBE.

Values from the calculation:
The value obtained for the total energy is -5.631 eV per atom. The density of states at the Fermi level is 0.378 states/eV/atom. For the raw formation energy, the calculation gives -0.7691 eV/atom.

a b c (Å): 20.2101 4.1676 9.4199
angles (deg): 90.00 108.17 90.00
Space group C2/m (No. 12)
Inequivalent atoms, fractional coordinates:
La (0.0283, 0.0000, 0.2559) x4
La (0.1592, 0.5000, 0.1249) x4
La (0.1784, 0.5000, 0.5598) x4
Ga (0.0000, 0.5000, 0.0000) x2
Tc (0.1552, 0.0000, 0.3365) x4
Br (0.0000, 0.5000, 0.5000) x2
Br (0.1702, 0.0000, 0.8372) x4

# 6
K2CaSi3Au12: relaxed, PBE.

Values from the calculation:
The value obtained for the total energy is -3.361 eV per atom. The density of states at the Fermi level is 0.483 states/eV/atom. For the raw formation energy, the calculation gives -0.0391 eV/atom.

a b c (Å): 8.9924 8.9924 19.2248
angles (deg): 90.00 90.00 120.00
Space group R-3m (No. 166, hexagonal axes)
Inequivalent atoms, fractional coordinates:
K (0.0000, 0.0000, 0.0978) x6
Ca (0.0000, 0.0000, 0.5000) x3
Si (0.0000, 0.5000, 0.0000) x9
Au (0.0169, 0.5084, 0.8723) x18
Au (0.0471, 0.5235, 0.3390) x18

# 7
InPCl: relaxed, PBE.

Values from the calculation:
The value obtained for the total energy is -3.607 eV per atom. The density of states at the Fermi level is 0.189 states/eV/atom. For the raw formation energy, the calculation gives -0.2754 eV/atom. The energy above the most stable polymorph in this dataset comes out at 0 meV per atom.

a b c (Å): 6.3110 6.3110 21.9352
angles (deg): 90.00 90.00 120.00
Space group R3 (No. 146, hexagonal axes)
Inequivalent atoms, fractional coordinates:
In (0.0000, 0.0000, 0.0000) x3
In (0.0000, 0.0000, 0.1985) x3
In (0.0000, 0.0000, 0.7090) x3
P (0.1291, 0.4506, 0.2676) x9
Cl (0.0048, 0.6609, 0.7666) x9

# 8
Na5Br4F: relaxed, PBE.

Values from the calculation:
The value obtained for the total energy is -3.242 eV per atom. The density of states at the Fermi level is 0.000 states/eV/atom. For the raw formation energy, the calculation gives -1.7264 eV/atom.

a b c (Å): 4.1698 4.1698 28.9144
angles (deg): 90.00 90.00 90.00
Space group I4/mmm (No. 139)
Inequivalent atoms, fractional coordinates:
Na (0.0000, 0.0000, 0.0000) x2
Na (0.0000, 0.0000, 0.2001) x4
Na (0.0000, 0.0000, 0.4189) x4
Br (0.0000, 0.0000, 0.0944) x4
Br (0.0000, 0.0000, 0.3041) x4
F (0.0000, 0.0000, 0.5000) x2

What is the formula in the first record? Mn3ZnNi4

Number 4 is which compound? TbSm2TmS6